1.
# GdLuAlZn | Alexandria | PBE | relaxed
# Electronic total energy = -6.27 eV/atom
# Spin magnetization = 7.31 μB per formula unit
# DFT formation energy = -0.3654 eV/atom
# DOS at the Fermi energy = 0.890 states/eV/atom
# Symmetry = F-43m, No. 216
data_GdLuAlZn
_chemical_formula_sum 'Gd1 Lu1 Al1 Zn1'
_cell_length_a 5.0559
_cell_length_b 5.0559
_cell_length_c 5.0559
_cell_angle_alpha 60.00
_cell_angle_beta 60.00
_cell_angle_gamma 60.00
_symmetry_space_group_name_H-M 'P 1'
_symmetry_Int_Tables_number 1
_symmetry_space_group_name_Hall 'P 1'
loop_
_atom_site_label
_atom_site_fract_x
_atom_site_fract_y
_atom_site_fract_z
Gd1 0.7500 0.7500 0.7500
Zn1 0.0000 0.0000 0.0000
Lu1 0.2500 0.2500 0.2500
Al1 0.5000 0.5000 0.5000



2.
# NiHg2MoRh | Alexandria | PBE | relaxed
# Electronic total energy = -3.62 eV/atom
# Spin magnetization = 2.56 μB per formula unit
# DFT formation energy = 1.2942 eV/atom
# Energy above the lowest structure with this stoichiometry = 0.000 eV/atom
# DOS at the Fermi energy = 1.430 states/eV/atom
# Symmetry = P4/mmm, No. 123
data_NiHg2MoRh
_chemical_formula_sum 'Ni1 Hg2 Mo1 Rh1'
_cell_length_a 5.1319
_cell_length_b 4.6761
_cell_length_c 5.1319
_cell_angle_alpha 90.00
_cell_angle_beta 90.00
_cell_angle_gamma 90.00
_symmetry_space_group_name_H-M 'P 1'
_symmetry_Int_Tables_number 1
_symmetry_space_group_name_Hall 'P 1'
loop_
_atom_site_label
_atom_site_fract_x
_atom_site_fract_y
_atom_site_fract_z
Ni1 0.5000 0.5000 0.5000
Mo1 0.0000 0.5000 0.0000
Rh1 0.0000 0.0000 0.0000
Hg1 0.0000 0.0000 0.5000
Hg2 0.5000 0.0000 0.0000